Tl2Se, relaxed, DFT PBE; offset from the most stable computed form = 5 meV/atom; total moment = 0.000 μB/atom; formation energy (no corrections) = -1.10 eV/f.u.
1.0
-0.240 4.666 -5.395
-2.030 1.031 -6.764
-6.260 1.797 3.413
Se Tl
2 4
direct
0.905 0.905 0.952 Se
0.374 0.374 0.438 Se
0.530 0.530 0.175 Tl
0.258 0.258 0.050 Tl
0.749 0.749 0.586 Tl
0.018 0.018 0.632 Tl

=====

Na4La3ZrSe8, relaxed, DFT PBE; total moment = 0.051 μB/atom; formation energy (no corrections) = -25.67 eV/f.u.
1.0
-1.067 4.702 7.010
5.424 -5.094 4.243
2.468 3.687 -7.260
Se Zr Na La
8 1 4 3
direct
0.767 0.269 0.534 Se
0.766 0.731 0.999 Se
0.252 0.256 0.504 Se
0.234 0.269 0.001 Se
0.748 0.744 0.496 Se
0.233 0.731 0.466 Se
0.767 0.269 0.001 Se
0.233 0.731 0.999 Se
0.000 0.500 0.000 Zr
0.500 0.000 0.500 Na
0.000 0.000 0.000 Na
0.500 0.000 0.000 Na
0.000 0.000 0.500 Na
0.500 0.500 0.500 La
0.500 0.500 0.000 La
0.000 0.500 0.500 La